[1]
# Ce2Zn3Si2

Crystalline Ce2Zn3Si2 at its relaxed geometry (GGA-PBE, Alexandria via LeMat-Bulk).

Cell and atoms, written as POSCAR:
```
Ce2Zn3Si2
1.0
-3.072 -1.528 -2.092
1.617 -3.378 0.093
-5.532 -0.340 8.370
Zn Si Ce
3 2 2
direct
0.500 0.565 0.131 Zn
0.500 0.435 0.869 Zn
0.000 0.000 0.000 Zn
0.500 0.715 0.429 Si
0.500 0.285 0.571 Si
0.000 0.162 0.324 Ce
0.000 0.838 0.676 Ce
```

Raw total energy = -4.069 eV/atom


[2]
# CsTiAl2Tc

Crystalline CsTiAl2Tc at its relaxed geometry (GGA-PBE, Alexandria via LeMat-Bulk).

Cell and atoms, written as POSCAR:
```
CsTiAl2Tc
1.0
5.171 0.000 0.000
0.000 5.171 0.000
0.000 0.000 5.545
Ti Al Cs Tc
1 2 1 1
direct
0.000 0.000 0.000 Ti
0.500 0.000 0.000 Al
0.000 0.500 0.000 Al
0.000 0.000 0.500 Cs
0.500 0.500 0.500 Tc
```

Raw total energy = -3.582 eV/atom
Formation energy from the elements = 1738 meV per atom


[3]
# ZnNiIr

Crystalline ZnNiIr at its relaxed geometry (GGA-PBE, Alexandria via LeMat-Bulk).

Cell and atoms, written as POSCAR:
```
ZnNiIr
1.0
3.998 0.000 0.000
1.999 3.462 0.000
1.999 1.154 3.264
Zn Ir Ni
1 1 1
direct
0.000 0.000 0.000 Zn
0.500 0.500 0.500 Ir
0.750 0.750 0.750 Ni
```

Raw total energy = -5.049 eV/atom
E above lowest polymorph = 38.81 kJ/mol of atoms
Formation energy from the elements = 257 meV per atom


[4]
# MnCuNi2

Crystalline MnCuNi2 at its relaxed geometry (GGA-PBE, Alexandria via LeMat-Bulk).

Cell and atoms, written as POSCAR:
```
MnCuNi2
1.0
4.364 0.002 0.002
3.575 2.503 0.002
0.833 0.263 4.322
Mn Ni Cu
1 2 1
direct
0.750 0.750 0.750 Mn
0.499 0.499 0.496 Ni
0.001 0.001 0.004 Ni
0.250 0.250 0.250 Cu
```

Raw total energy = -6.188 eV/atom
Formation energy from the elements = 19 meV per atom


[5]
# Pr2Mg2Tl7

Crystalline Pr2Mg2Tl7 at its relaxed geometry (GGA-PBE, Alexandria via LeMat-Bulk).

Cell and atoms, written as POSCAR:
```
Pr2Mg2Tl7
1.0
-2.781 -0.281 2.360
-0.855 -10.794 0.543
4.291 -7.023 7.057
Mg Tl Pr
2 7 2
direct
0.500 0.362 0.638 Mg
0.000 0.728 0.272 Mg
0.130 0.157 0.582 Tl
0.870 0.418 0.843 Tl
0.611 0.482 0.296 Tl
0.140 0.750 0.970 Tl
0.860 0.030 0.250 Tl
0.389 0.704 0.518 Tl
0.500 0.034 0.966 Tl
0.257 0.338 0.149 Pr
0.743 0.851 0.662 Pr
```

Raw total energy = -2.747 eV/atom
Formation energy from the elements = -82 meV per atom


[6]
# Ag2TeOsO

Crystalline Ag2TeOsO at its relaxed geometry (GGA-PBE, Alexandria via LeMat-Bulk).

Cell and atoms, written as POSCAR:
```
Ag2TeOsO
1.0
4.173 0.000 0.000
0.000 5.132 0.000
0.000 0.000 4.173
O Os Ag Te
1 1 2 1
direct
0.000 0.000 0.000 O
0.500 0.500 0.500 Os
0.500 0.000 0.000 Ag
0.000 0.000 0.500 Ag
0.000 0.500 0.000 Te
```

Raw total energy = -4.182 eV/atom


[7]
# ErTi3Ge2

Crystalline ErTi3Ge2 at its relaxed geometry (GGA-PBE, Alexandria via LeMat-Bulk).

Cell and atoms, written as POSCAR:
```
ErTi3Ge2
1.0
3.949 0.000 0.000
-1.975 8.130 -0.163
0.000 -3.785 7.234
Ge Ti Er
4 6 2
direct
0.517 0.034 0.164 Ge
0.787 0.573 0.272 Ge
0.483 0.966 0.836 Ge
0.213 0.427 0.728 Ge
0.948 0.897 0.598 Ti
0.686 0.372 0.469 Ti
0.593 0.186 0.682 Ti
0.407 0.814 0.318 Ti
0.052 0.103 0.402 Ti
0.314 0.628 0.531 Ti
0.137 0.273 0.073 Er
0.863 0.727 0.927 Er
```

Raw total energy = -6.763 eV/atom
Formation energy from the elements = -516 meV per atom


[8]
# Ca2TeRh

Crystalline Ca2TeRh at its relaxed geometry (GGA-PBE, Alexandria via LeMat-Bulk).

Cell and atoms, written as POSCAR:
```
Ca2TeRh
1.0
3.727 0.023 0.000
-0.025 3.727 0.000
0.000 0.000 8.135
Ca Rh Te
2 1 1
direct
0.500 0.500 0.307 Ca
0.000 0.000 0.939 Ca
0.000 0.000 0.575 Rh
0.500 0.500 0.680 Te
```

Raw total energy = -3.979 eV/atom


[9]
# CsNpZnO4

Crystalline CsNpZnO4 at its relaxed geometry (GGA-PBE, Alexandria via LeMat-Bulk).

Cell and atoms, written as POSCAR:
```
CsNpZnO4
1.0
-5.995 2.134 -0.884
0.854 -7.337 -0.156
0.232 3.219 6.193
O Np Zn Cs
8 2 2 2
direct
0.691 0.988 0.244 O
0.690 0.380 0.255 O
0.703 0.012 0.756 O
0.690 0.380 0.624 O
0.297 0.988 0.244 O
0.310 0.620 0.376 O
0.310 0.620 0.745 O
0.309 0.012 0.756 O
0.500 0.000 0.000 Np
0.500 0.000 0.500 Np
0.500 0.500 0.500 Zn
0.000 0.500 0.500 Zn
0.830 0.661 0.080 Cs
0.170 0.339 0.920 Cs
```

Raw total energy = -6.983 eV/atom


[10]
# CaAcZn2Ni2

Crystalline CaAcZn2Ni2 at its relaxed geometry (GGA-PBE, Alexandria via LeMat-Bulk).

Cell and atoms, written as POSCAR:
```
CaAcZn2Ni2
1.0
4.283 0.000 0.000
-2.141 3.709 0.000
0.000 0.000 8.097
Ni Zn Ca Ac
2 2 1 1
direct
0.667 0.333 0.252 Ni
0.333 0.667 0.748 Ni
0.667 0.333 0.727 Zn
0.333 0.667 0.273 Zn
0.000 0.000 0.500 Ca
0.000 0.000 0.000 Ac
```

Raw total energy = -3.635 eV/atom
Formation energy from the elements = -265 meV per atom


[11]
# TmPu4O10

Crystalline TmPu4O10 at its relaxed geometry (GGA-PBE, Alexandria via LeMat-Bulk).

Cell and atoms, written as POSCAR:
```
TmPu4O10
1.0
-0.788 3.419 -1.418
-1.267 -1.611 -3.181
-11.249 -1.565 7.524
O Pu Tm
10 4 1
direct
0.250 0.750 0.500 O
0.851 0.351 0.701 O
0.449 0.949 0.898 O
0.149 0.649 0.299 O
0.750 0.250 0.500 O
0.051 0.551 0.102 O
0.551 0.051 0.102 O
0.649 0.149 0.299 O
0.949 0.449 0.898 O
0.351 0.851 0.701 O
0.402 0.402 0.805 Pu
0.801 0.801 0.601 Pu
0.598 0.598 0.195 Pu
0.199 0.199 0.399 Pu
0.000 0.000 0.000 Tm
```

Raw total energy = -10.590 eV/atom


[12]
# Ce2ThCu2Ge2

Crystalline Ce2ThCu2Ge2 at its relaxed geometry (GGA-PBE, Alexandria via LeMat-Bulk).

Cell and atoms, written as POSCAR:
```
Ce2ThCu2Ge2
1.0
4.241 0.000 0.000
2.120 3.673 0.000
2.120 1.224 9.335
Cu Ge Ce Th
2 2 2 1
direct
0.594 0.594 0.217 Cu
0.406 0.406 0.783 Cu
0.738 0.738 0.786 Ge
0.262 0.262 0.214 Ge
0.859 0.859 0.424 Ce
0.141 0.141 0.576 Ce
0.000 0.000 0.000 Th
```

Raw total energy = -5.723 eV/atom
Formation energy from the elements = -479 meV per atom